Density functional theory data (GGA-PBE) for a relaxed Tb2BiBr2 crystal.

As for the uncorrected formation energy: -1.323 eV per atom. As for the calculated total energy: -69.31 eV per cell.

Geometry as CIF:
```
data_Tb2BiBr2
_chemical_formula_sum 'Tb6 Bi3 Br6'
_cell_length_a 4.2980
_cell_length_b 4.2980
_cell_length_c 32.3322
_cell_angle_alpha 90.00
_cell_angle_beta 90.00
_cell_angle_gamma 120.00
_space_group_name_H-M_alt 'R -3 m'
_space_group_IT_number 166
_space_group_name_Hall '-R 3 2"'
loop_
_atom_site_label
_atom_site_type_symbol
_atom_site_fract_x
_atom_site_fract_y
_atom_site_fract_z
Tb1 Tb 0.0000 0.0000 0.1106
Bi1 Bi 0.0000 0.0000 0.5000
Br1 Br 0.0000 0.0000 0.2751
```